No. 1
This record from Alexandria describes a geometry-optimized LaNd3YEr structure. The functional is PBE-GGA. Values from VASP.

Values from the calculation:
The value obtained for the calculated formation energy is 0.15 eV per formula unit. The value obtained for the density is 6.67 g/cm3. Its space group is No. 11. The volume is 34.36 Å³ per atom.

```
&SYSTEM
  ibrav = 0, nat = 12, ntyp = 4
/
ATOMIC_SPECIES
La 138.91 La.upf
Nd 144.24 Nd.upf
Y 88.91 Y.upf
Er 167.26 Er.upf
CELL_PARAMETERS angstrom
5.181 0.000 0.000
0.000 8.088 -0.768
0.000 -3.872 10.209
ATOMIC_POSITIONS crystal
La 0.750 0.877 0.707
La 0.250 0.123 0.293
Nd 0.250 0.628 0.457
Nd 0.750 0.873 0.042
Nd 0.750 0.377 0.209
Nd 0.750 0.372 0.543
Nd 0.250 0.623 0.791
Nd 0.250 0.127 0.958
Y 0.250 0.623 0.125
Y 0.750 0.377 0.875
Er 0.250 0.126 0.626
Er 0.750 0.874 0.374
```

No. 2
This record from Alexandria describes a geometry-optimized LaNdY6Er2 structure. The functional is PBE-GGA. Values from VASP.

Values from the calculation:
The value obtained for the calculated formation energy is 1.20 eV per formula unit. The value obtained for the density is 5.75 g/cm3. Its space group is No. 15. The volume is 33.24 Å³ per atom.

```
&SYSTEM
  ibrav = 0, nat = 20, ntyp = 4
/
ATOMIC_SPECIES
La 138.91 La.upf
Nd 144.24 Nd.upf
Y 88.91 Y.upf
Er 167.26 Er.upf
CELL_PARAMETERS angstrom
9.119 -1.908 -1.980
0.897 8.593 -1.932
0.897 -2.249 8.516
ATOMIC_POSITIONS crystal
La 0.250 0.964 0.036
La 0.750 0.036 0.964
Nd 0.250 0.411 0.589
Nd 0.750 0.589 0.411
Y 0.058 0.115 0.757
Y 0.442 0.243 0.885
Y 0.942 0.885 0.243
Y 0.558 0.757 0.115
Y 0.321 0.987 0.443
Y 0.179 0.557 0.013
Y 0.679 0.013 0.557
Y 0.821 0.443 0.987
Y 0.112 0.706 0.480
Y 0.388 0.520 0.294
Y 0.888 0.294 0.520
Y 0.612 0.480 0.706
Er 0.446 0.802 0.700
Er 0.054 0.300 0.198
Er 0.554 0.198 0.300
Er 0.946 0.700 0.802
```

No. 3
This record from Alexandria describes a geometry-optimized LaNd5Y2Er structure. The functional is PBE-GGA. Values from VASP.

Values from the calculation:
The value obtained for the calculated formation energy is 2.65 eV per formula unit. The value obtained for the density is 6.28 g/cm3. Its space group is No. 140. The volume is 35.43 Å³ per atom.

```
&SYSTEM
  ibrav = 0, nat = 18, ntyp = 4
/
ATOMIC_SPECIES
La 138.91 La.upf
Nd 144.24 Nd.upf
Y 88.91 Y.upf
Er 167.26 Er.upf
CELL_PARAMETERS angstrom
9.503 0.000 0.000
0.000 9.503 0.000
-4.752 -4.752 7.062
ATOMIC_POSITIONS crystal
La 0.250 0.250 0.500
La 0.750 0.750 0.500
Nd 0.930 0.430 0.265
Nd 0.665 0.165 0.735
Nd 0.070 0.570 0.735
Nd 0.165 0.070 0.735
Nd 0.570 0.665 0.735
Nd 0.835 0.930 0.265
Nd 0.430 0.335 0.265
Nd 0.335 0.835 0.265
Nd 0.500 0.500 0.000
Nd 0.000 0.000 0.000
Y 0.109 0.391 0.000
Y 0.609 0.109 0.000
Y 0.391 0.891 0.000
Y 0.891 0.609 0.000
Er 0.250 0.750 0.500
Er 0.750 0.250 0.500
```

No. 4
This record from Alexandria describes a geometry-optimized LaNdY5Er2 structure. The functional is PBE-GGA. Values from VASP.

Values from the calculation:
The value obtained for the calculated formation energy is 2.37 eV per formula unit. The value obtained for the density is 5.89 g/cm3. Its space group is No. 140. The volume is 33.27 Å³ per atom.

```
&SYSTEM
  ibrav = 0, nat = 18, ntyp = 4
/
ATOMIC_SPECIES
La 138.91 La.upf
Nd 144.24 Nd.upf
Y 88.91 Y.upf
Er 167.26 Er.upf
CELL_PARAMETERS angstrom
-2.404 8.405 -1.112
-8.383 -2.529 -0.994
4.284 -2.250 8.653
ATOMIC_POSITIONS crystal
La 0.250 0.250 0.500
La 0.750 0.750 0.500
Nd 0.250 0.750 0.500
Nd 0.750 0.250 0.500
Y 0.931 0.431 0.263
Y 0.668 0.168 0.737
Y 0.069 0.569 0.737
Y 0.168 0.069 0.737
Y 0.569 0.668 0.737
Y 0.832 0.931 0.263
Y 0.431 0.332 0.263
Y 0.332 0.832 0.263
Y 0.500 0.500 0.000
Y 0.000 0.000 0.000
Er 0.116 0.384 0.000
Er 0.616 0.116 0.000
Er 0.384 0.884 0.000
Er 0.884 0.616 0.000
```

No. 5
This record from Alexandria describes a geometry-optimized LaNd6Y2Er3 structure. The functional is PBE-GGA. Values from VASP.

Values from the calculation:
The value obtained for the calculated formation energy is 0.20 eV per formula unit. The value obtained for the density is 6.93 g/cm3. Its space group is No. 12. The volume is 33.61 Å³ per atom.

```
&SYSTEM
  ibrav = 0, nat = 12, ntyp = 4
/
ATOMIC_SPECIES
La 138.91 La.upf
Nd 144.24 Nd.upf
Y 88.91 Y.upf
Er 167.26 Er.upf
CELL_PARAMETERS angstrom
6.294 -0.001 0.023
-3.147 5.451 0.023
-1.091 -1.889 11.739
ATOMIC_POSITIONS crystal
La 0.000 0.000 0.000
Nd 0.915 0.581 0.746
Nd 0.751 0.751 0.254
Nd 0.085 0.419 0.254
Nd 0.581 0.915 0.746
Nd 0.249 0.249 0.746
Nd 0.419 0.085 0.254
Y 0.333 0.667 0.000
Y 0.667 0.333 0.000
Er 0.167 0.833 0.500
Er 0.833 0.167 0.500
Er 0.500 0.500 0.500
```

No. 6
This record from Alexandria describes a geometry-optimized La3Nd2Y6Er structure. The functional is PBE-GGA. Values from VASP.

Values from the calculation:
The value obtained for the calculated formation energy is 0.15 eV per formula unit. The value obtained for the density is 5.80 g/cm3. Its space group is No. 12. The volume is 33.57 Å³ per atom.

```
&SYSTEM
  ibrav = 0, nat = 12, ntyp = 4
/
ATOMIC_SPECIES
La 138.91 La.upf
Nd 144.24 Nd.upf
Y 88.91 Y.upf
Er 167.26 Er.upf
CELL_PARAMETERS angstrom
-2.759 -5.465 -1.455
5.176 1.829 -3.076
5.867 -4.277 9.468
ATOMIC_POSITIONS crystal
La 0.167 0.833 0.500
La 0.833 0.167 0.500
La 0.500 0.500 0.500
Nd 0.334 0.666 0.000
Nd 0.666 0.334 0.000
Y 0.918 0.585 0.753
Y 0.750 0.750 0.247
Y 0.082 0.415 0.247
Y 0.585 0.918 0.753
Y 0.250 0.250 0.753
Y 0.415 0.082 0.247
Er 0.000 0.000 0.000
```